The following is a PBEsol calculation of crystalline Ba2TaW at its relaxed geometry, from Alexandria via LeMat-Bulk.

Geometry as extended XYZ:
```
4
Lattice="-0.075 2.800 1.318 -2.606 1.018 1.325 2.561 -3.590 11.412" Properties=species:S:1:pos:R:3 pbc="T T T"
W 0.000 0.000 0.000
Ta -0.060 0.114 7.027
Ba -0.062 0.131 10.628
Ba -0.059 0.097 3.427
```

Output
The calculation puts the total magnetization at 0.00 Bohr magnetons per cell. The final energy is -6.07 eV per atom. Its volume is 25.11 A^3/atom. The space group is R-3m, No. 166. The calculation puts the formation energy at 6.39 eV per formula unit. As for the crystal system: trigonal.

The following is a PBEsol calculation of crystalline BaTaW at its relaxed geometry, from Alexandria via LeMat-Bulk.

Geometry as extended XYZ:
```
3
Lattice="-1.740 0.272 -4.370 -4.119 -2.043 -1.026 -3.795 2.654 -0.863" Properties=species:S:1:pos:R:3 pbc="T T T"
W -2.414 0.221 -1.565
Ba 0.000 0.000 0.000
Ta -4.827 0.441 -3.130
```

Output
The calculation puts the total magnetization at 0.00 Bohr magnetons per cell. The final energy is -7.89 eV per atom. Its volume is 24.65 A^3/atom. The space group is F-43m, No. 216. The calculation puts the formation energy at 4.84 eV per formula unit. As for the crystal system: cubic.

The following is a PBEsol calculation of crystalline BaTaW at its relaxed geometry, from Alexandria via LeMat-Bulk.

Geometry as extended XYZ:
```
3
Lattice="-0.981 2.647 -0.944 -2.356 -2.220 -3.778 -2.342 0.680 4.337" Properties=species:S:1:pos:R:3 pbc="T T T"
Ba -0.001 0.002 -0.001
W -2.714 -0.275 -1.422
Ta -2.964 1.379 1.037
```

Output
The calculation puts the total magnetization at 0.00 Bohr magnetons per cell. The final energy is -8.09 eV per atom. Its volume is 21.27 A^3/atom. The space group is P3m1, No. 156. The calculation puts the formation energy at 4.22 eV per formula unit. As for the crystal system: trigonal.